The following is a GGA-PBEsol calculation of ScP2Rh after structural relaxation, from the Alexandria database.

Summary:
polymorph energy (0 for the lowest one) = 0.150 eV/atom
volume = 62 Å³/cell
E = -0.269 Ha/atom

a b c (Å): 3.573 3.710 4.709
angles (deg): 90.00 90.00 89.27
Atoms (fractional coordinates):
P 0.000 0.062 0.000
P 0.738 0.643 0.500
Rh 0.509 0.649 0.000
Sc 0.254 0.146 0.500


The following is a GGA-PBEsol calculation of ZnMo2IrO after structural relaxation, from the Alexandria database.

Summary:
ΔE_f (raw) = 0.005 eV per atom
volume = 67 Å³/cell
E = -0.295 Ha/atom

a b c (Å): 3.974 3.974 4.250
angles (deg): 90.00 90.00 90.00
Atoms (fractional coordinates):
Ir 0.000 0.000 0.500
Mo 0.500 0.000 0.000
Mo 0.000 0.500 0.000
O 0.000 0.000 0.000
Zn 0.500 0.500 0.500


The following is a GGA-PBEsol calculation of RbPPdAu2 after structural relaxation, from the Alexandria database.

Summary:
volume = 127 Å³/cell
E = -0.133 Ha/atom

a b c (Å): 4.577 4.577 6.070
angles (deg): 90.00 90.00 90.00
Atoms (fractional coordinates):
Pd 0.500 0.500 0.500
Rb 0.000 0.000 0.500
Au 0.500 0.000 0.000
Au 0.000 0.500 0.000
P 0.000 0.000 0.000


The following is a GGA-PBEsol calculation of TcHgAs2Se after structural relaxation, from the Alexandria database.

Summary:
ΔE_f (raw) = 0.406 eV per atom
volume = 113 Å³/cell
E = -0.175 Ha/atom

a b c (Å): 4.679 4.679 5.157
angles (deg): 90.00 90.00 90.00
Atoms (fractional coordinates):
Tc 0.000 0.000 0.000
As 0.500 0.000 0.000
As 0.000 0.500 0.000
Se 0.000 0.000 0.500
Hg 0.500 0.500 0.500


The following is a GGA-PBEsol calculation of LiCd3Re after structural relaxation, from the Alexandria database.

Summary:
volume = 88 Å³/cell
E = -0.098 Ha/atom

a b c (Å): 4.452 4.452 4.452
angles (deg): 90.00 90.00 90.00
Site moments in Bohr magnetons follow the coordinates.
Atoms (fractional coordinates):
Cd 0.000 0.500 0.000  -0.01
Cd 0.500 0.000 0.000  -0.01
Cd 0.000 0.000 0.500  -0.01
Li 0.000 0.000 0.000  0.00
Re 0.500 0.500 0.500  1.59


The following is a GGA-PBEsol calculation of InRh3Se after structural relaxation, from the Alexandria database.

Summary:
ΔE_f (raw) = 1.563 eV per atom
polymorph energy (0 for the lowest one) = 1.228 eV/atom
volume = 110 Å³/cell
E = -0.172 Ha/atom

a b c (Å): 4.786 4.786 4.786
angles (deg): 90.00 90.00 90.00
Site moments in Bohr magnetons follow the coordinates.
Atoms (fractional coordinates):
Rh 0.000 0.000 0.500  0.65
Rh 0.000 0.500 0.000  0.65
Rh 0.500 0.000 0.000  0.65
In 0.000 0.000 0.000  -0.04
Se 0.500 0.500 0.500  0.10


The following is a GGA-PBEsol calculation of Nd2Ta2Cl2O7 after structural relaxation, from the Alexandria database.

Summary:
ΔE_f (raw) = -3.001 eV per atom
volume = 189 Å³/cell
E = -0.326 Ha/atom

a b c (Å): 3.915 6.876 7.911
angles (deg): 112.99 104.33 90.00
Atoms (fractional coordinates):
Ta 0.965 0.200 0.930
Ta 0.035 0.800 0.070
O 0.082 0.153 0.164
O 0.545 0.838 0.090
O 0.000 0.500 0.000
O 0.455 0.162 0.910
O 0.176 0.932 0.351
O 0.824 0.068 0.649
O 0.918 0.847 0.836
Nd 0.692 0.166 0.384
Nd 0.308 0.834 0.616
Cl 0.321 0.433 0.643
Cl 0.679 0.567 0.357


The following is a GGA-PBEsol calculation of BaZn after structural relaxation, from the Alexandria database.

Summary:
volume = 149 Å³/cell
E = -0.074 Ha/atom

a b c (Å): 4.617 4.617 8.517
angles (deg): 74.27 74.27 60.00
Atoms (fractional coordinates):
Ba 0.085 0.085 0.746
Ba 0.915 0.915 0.254
Zn 0.334 0.334 0.999
Zn 0.666 0.666 0.001


The following is a GGA-PBEsol calculation of Ba2CaW after structural relaxation, from the Alexandria database.

Summary:
volume = 141 Å³/cell
E = -0.148 Ha/atom

a b c (Å): 3.663 3.663 10.534
angles (deg): 90.00 90.00 90.00
Site moments in Bohr magnetons follow the coordinates.
Atoms (fractional coordinates):
Ba 0.000 0.000 0.695  0.03
Ba 0.000 0.000 0.305  0.03
W 0.500 0.500 0.500  1.31
Ca 0.500 0.500 0.000  -0.01


The following is a GGA-PBEsol calculation of Ta3MoP after structural relaxation, from the Alexandria database.

Summary:
volume = 107 Å³/cell
E = -0.347 Ha/atom

a b c (Å): 4.751 4.751 4.751
angles (deg): 90.00 90.00 90.00
Atoms (fractional coordinates):
Ta 0.000 0.000 0.500
Ta 0.000 0.500 0.000
Ta 0.500 0.000 0.000
Mo 0.000 0.000 0.000
P 0.500 0.500 0.500


The following is a GGA-PBEsol calculation of Tl2RuSe after structural relaxation, from the Alexandria database.

Summary:
ΔE_f (raw) = 0.615 eV per atom
polymorph energy (0 for the lowest one) = 0.521 eV/atom
volume = 81 Å³/cell
E = -0.155 Ha/atom

a b c (Å): 4.859 4.859 4.859
angles (deg): 60.00 60.00 60.00
Atoms (fractional coordinates):
Tl 0.750 0.750 0.750
Tl 0.000 0.000 0.000
Ru 0.500 0.500 0.500
Se 0.250 0.250 0.250


The following is a GGA-PBEsol calculation of KAl2S after structural relaxation, from the Alexandria database.

Summary:
ΔE_f (raw) = -0.057 eV per atom
volume = 190 Å³/cell
E = -0.128 Ha/atom

a b c (Å): 5.902 6.389 6.389
angles (deg): 77.68 62.49 62.49
Atoms (fractional coordinates):
Al 0.375 0.437 0.063
Al 0.188 0.937 0.437
Al 0.875 0.563 0.937
Al 0.562 0.063 0.563
K 0.000 0.000 0.000
K 0.750 0.500 0.500
S 0.500 0.000 0.000
S 0.250 0.500 0.500